AlPAu3 PBE relaxed; ΔH_f (0 K) = 0.720 eV per atom
1.0
4.7973 0.0000 0.0000
0.0000 4.7973 0.0000
0.0000 0.0000 4.7973
Al P Au
1 1 3
Cartesian
0.0000 0.0000 0.0000
2.3987 2.3987 2.3987
0.0000 0.0000 2.3987
0.0000 2.3987 0.0000
2.3987 0.0000 0.0000


HoTm2Th6 PBE relaxed; ΔH_f (0 K) = 0.044 eV per atom
1.0
8.4933 0.0000 0.0000
-1.7613 8.3183 0.0000
-3.9607 -1.3712 8.1723
Ho Tm Th
2 4 12
Cartesian
0.9062 2.7109 1.1365
1.8652 4.2362 7.0359
-4.3807 7.0069 7.0340
-0.3761 1.4620 7.0338
3.1475 5.4851 1.1385
7.1521 -0.0598 1.1383
-3.1162 5.9740 3.8876
-3.1511 3.7195 6.5621
-0.3195 6.0093 1.6115
-0.3687 3.7488 4.2820
0.8918 0.4274 3.8937
-0.9180 6.4936 6.5634
3.6894 0.4536 1.6089
1.8796 6.5197 4.2787
3.1401 3.1984 3.8903
3.0909 0.9379 6.5609
5.9225 3.2276 1.6102
5.8876 0.9732 4.2847


Sc3GeS PBE relaxed; energy relative to the elements, uncorrected = -0.75 eV/atom
1.0
4.7567 0.0000 0.0000
0.0000 4.7567 0.0000
0.0000 0.0000 4.7567
Sc Ge S
3 1 1
Cartesian
0.0000 0.0000 2.3783
0.0000 2.3783 0.0000
2.3783 0.0000 0.0000
2.3783 2.3783 2.3783
0.0000 0.0000 0.0000


| no. | distance to the lowest polymorph of the same formula (eV per formula unit) | total DFT energy (no corrections) (eV per atom) |
| --- | --- | --- |
| 1 | 2.10 | -3.0767 |
| 2 | 0.00 | -6.4048 |
| 3 | 0.00 | -6.2962 |